Ho7Pt3 | PBE | relaxed

CIF file:
```
data_Ho7Pt3
_chemical_formula_sum 'Ho14 Pt6'
_cell_length_a 9.8337
_cell_length_b 9.8337
_cell_length_c 6.2619
_cell_angle_alpha 90.00
_cell_angle_beta 90.00
_cell_angle_gamma 120.00
_symmetry_space_group_name_H-M 'P 63 m c'
_symmetry_Int_Tables_number 186
_symmetry_space_group_name_Hall 'P 6c -2c'
loop_
_atom_site_label
_atom_site_fract_x
_atom_site_fract_y
_atom_site_fract_z
Ho1 0.0792 0.5396 0.0000
Ho2 0.1266 0.2532 0.3095
Ho3 0.3333 0.6667 0.5021
Pt1 0.1899 0.3798 0.7381
```

Values from the calculation:
The value obtained for the total energy is -117.38 eV/cell. The value obtained for the energy of formation is -0.852 eV/atom. For the density, the calculation gives 11.0 Mg/m³.

Ho3Pt4 | PBE | relaxed

CIF file:
```
data_Ho3Pt4
_chemical_formula_sum 'Ho18 Pt24'
_cell_length_a 13.1690
_cell_length_b 13.1690
_cell_length_c 5.7197
_cell_angle_alpha 90.00
_cell_angle_beta 90.00
_cell_angle_gamma 120.00
_symmetry_space_group_name_H-M 'R -3'
_symmetry_Int_Tables_number 148
_symmetry_space_group_name_Hall '-R 3'
loop_
_atom_site_label
_atom_site_fract_x
_atom_site_fract_y
_atom_site_fract_z
Ho1 0.0418 0.8314 0.2364
Pt1 0.0000 0.0000 0.0000
Pt2 0.0000 0.0000 0.5000
Pt3 0.0527 0.7819 0.7196
```

Values from the calculation:
The value obtained for the total energy is -280.32 eV/cell. The value obtained for the energy of formation is -1.260 eV/atom. For the density, the calculation gives 14.8 Mg/m³.

Ho2Pt | PBE | relaxed

CIF file:
```
data_Ho2Pt
_chemical_formula_sum 'Ho8 Pt4'
_cell_length_a 7.1257
_cell_length_b 4.7545
_cell_length_c 8.7615
_cell_angle_alpha 90.00
_cell_angle_beta 90.00
_cell_angle_gamma 90.00
_symmetry_space_group_name_H-M 'P n m a'
_symmetry_Int_Tables_number 62
loop_
_symmetry_equiv_pos_as_xyz
'x,y,z'
'-x,-y,-z'
'-x+1/2,-y,z+1/2'
'x+1/2,y,-z+1/2'
'x+1/2,-y+1/2,-z+1/2'
'-x+1/2,y+1/2,z+1/2'
'-x,y+1/2,-z'
'x,-y+1/2,z'
loop_
_atom_site_label
_atom_site_fract_x
_atom_site_fract_y
_atom_site_fract_z
Ho1 0.0096 0.2500 0.1672
Ho2 0.1439 0.2500 0.5806
Pt1 0.2412 0.2500 0.9067
```

Values from the calculation:
The value obtained for the total energy is -72.42 eV/cell. The value obtained for the energy of formation is -0.970 eV/atom. For the density, the calculation gives 11.7 Mg/m³.

Ho4Pt | PBE | relaxed

CIF file:
```
data_Ho4Pt
_chemical_formula_sum 'Ho16 Pt4'
_cell_length_a 7.6653
_cell_length_b 12.3565
_cell_length_c 7.2543
_cell_angle_alpha 90.00
_cell_angle_beta 121.66
_cell_angle_gamma 90.00
_symmetry_space_group_name_H-M 'C 1 c 1'
_symmetry_Int_Tables_number 9
loop_
_symmetry_equiv_pos_as_xyz
'x,y,z'
'x,-y,z+1/2'
'x+1/2,y+1/2,z'
'x+1/2,-y+1/2,z+1/2'
loop_
_atom_site_label
_atom_site_fract_x
_atom_site_fract_y
_atom_site_fract_z
Ho1 0.0000 0.0056 0.0000
Ho2 0.0135 0.4543 0.8958
Ho3 0.1590 0.2446 0.3172
Ho4 0.2749 0.2042 0.9176
Pt1 0.2371 0.3756 0.6581
```

Values from the calculation:
The value obtained for the total energy is -107.08 eV/cell. The value obtained for the energy of formation is -0.483 eV/atom. For the density, the calculation gives 9.7 Mg/m³. The calculation puts the relative energy among the computed polymorphs at 0.0 meV per atom.

HoPt | PBE | relaxed

CIF file:
```
data_HoPt
_chemical_formula_sum 'Ho4 Pt4'
_cell_length_a 6.9630
_cell_length_b 4.5358
_cell_length_c 5.5437
_cell_angle_alpha 90.00
_cell_angle_beta 90.00
_cell_angle_gamma 90.00
_symmetry_space_group_name_H-M 'P n m a'
_symmetry_Int_Tables_number 62
loop_
_symmetry_equiv_pos_as_xyz
'x,y,z'
'-x,-y,-z'
'-x+1/2,-y,z+1/2'
'x+1/2,y,-z+1/2'
'x+1/2,-y+1/2,-z+1/2'
'-x+1/2,y+1/2,z+1/2'
'-x,y+1/2,-z'
'x,-y+1/2,z'
loop_
_atom_site_label
_atom_site_fract_x
_atom_site_fract_y
_atom_site_fract_z
Ho1 0.1823 0.2500 0.1412
Pt1 0.0435 0.2500 0.6558
```

Values from the calculation:
The value obtained for the total energy is -52.98 eV/cell. The value obtained for the energy of formation is -1.313 eV/atom. For the density, the calculation gives 13.7 Mg/m³.

Ho3PuPt12 | PBE | relaxed

CIF file:
```
data_Ho3PuPt12
_chemical_formula_sum 'Ho3 Pu1 Pt12'
_cell_length_a 4.1194
_cell_length_b 4.1194
_cell_length_c 16.4789
_cell_angle_alpha 90.00
_cell_angle_beta 90.00
_cell_angle_gamma 90.00
_symmetry_space_group_name_H-M 'P 4/m m m'
_symmetry_Int_Tables_number 123
_symmetry_space_group_name_Hall '-P 4 2'
loop_
_atom_site_label
_atom_site_fract_x
_atom_site_fract_y
_atom_site_fract_z
Ho1 0.0000 0.0000 0.0000
Ho2 0.0000 0.0000 0.2476
Pu1 0.0000 0.0000 0.5000
Pt1 0.0000 0.5000 0.1240
Pt2 0.0000 0.5000 0.3740
Pt3 0.5000 0.5000 0.0000
Pt4 0.5000 0.5000 0.2485
Pt5 0.5000 0.5000 0.5000
```

Values from the calculation:
The value obtained for the total energy is -116.00 eV/cell. The value obtained for the energy of formation is -0.965 eV/atom. For the density, the calculation gives 18.3 Mg/m³.

energy of formation of number 1 (Ho7Pt3)?
-0.852 eV/atom